DFT (PBE-GGA) results for a relaxed structure of Tb4CSO2.

The structure in CIF format:
```
data_Tb4CSO2
_cell_length_a 6.175
_cell_length_b 3.612
_cell_length_c 6.373
_cell_angle_alpha 90.00
_cell_angle_beta 109.59
_cell_angle_gamma 90.00
_space_group_name_H-M_alt 'P 1 2/m 1'
_space_group_IT_number 10
_space_group_name_Hall '-P 2y'
loop_
_atom_site_label
_atom_site_fract_x
_atom_site_fract_y
_atom_site_fract_z
Tb1 0.238 0.000 0.223
Tb2 0.247 0.500 0.767
C1 0.500 0.000 0.000
S1 0.500 0.500 0.500
O1 0.000 0.000 0.500
O2 0.000 0.500 0.000
```

---

DFT (PBE-GGA) results for a relaxed structure of Tm8C3S4O.

The structure in CIF format:
```
data_Tm8C3S4O
_cell_length_a 7.2511
_cell_length_b 7.2511
_cell_length_c 18.5466
_cell_angle_alpha 90.00
_cell_angle_beta 90.00
_cell_angle_gamma 120.00
_space_group_name_H-M_alt 'R -3 m'
_space_group_IT_number 166
_space_group_name_Hall '-R 3 2"'
loop_
_atom_site_label
_atom_site_fract_x
_atom_site_fract_y
_atom_site_fract_z
Tm1 0.0000 0.0000 0.2380
Tm2 0.0070 0.5035 0.7625
C1 0.0000 0.5000 0.5000
S1 0.0000 0.0000 0.0000
S2 0.0000 0.5000 0.0000
O1 0.0000 0.0000 0.5000
```

---

DFT (PBE-GGA) results for a relaxed structure of Tm3CSO.

The structure in CIF format:
```
data_Tm3CSO
_cell_length_a 7.550
_cell_length_b 3.611
_cell_length_c 8.429
_cell_angle_alpha 90.00
_cell_angle_beta 100.02
_cell_angle_gamma 90.00
_space_group_name_H-M_alt 'P 1 21/m 1'
_space_group_IT_number 11
_space_group_name_Hall '-P 2yb'
loop_
_atom_site_label
_atom_site_fract_x
_atom_site_fract_y
_atom_site_fract_z
Tm1 0.077 0.250 0.360
Tm2 0.197 0.750 0.013
Tm3 0.369 0.750 0.664
C1 0.153 0.250 0.663
S1 0.354 0.750 0.340
O1 0.092 0.250 0.097
```

---

DFT (PBE-GGA) results for a relaxed structure of Tm6C2S3O.

The structure in CIF format:
```
data_Tm6C2S3O
_cell_length_a 16.170
_cell_length_b 3.623
_cell_length_c 7.446
_cell_angle_alpha 90.00
_cell_angle_beta 105.67
_cell_angle_gamma 90.00
_space_group_name_H-M_alt 'C 1 2/m 1'
_space_group_IT_number 12
_space_group_name_Hall '-C 2y'
loop_
_atom_site_label
_atom_site_fract_x
_atom_site_fract_y
_atom_site_fract_z
Tm1 0.011 0.000 0.237
Tm2 0.162 0.500 0.108
Tm3 0.175 0.500 0.561
C1 0.164 0.000 0.327
S1 0.000 0.500 0.500
S2 0.165 0.000 0.834
O1 0.000 0.500 0.000
```

---

DFT (PBE-GGA) results for a relaxed structure of YCS2O.

The structure in CIF format:
```
data_YCS2O
_cell_length_a 4.092
_cell_length_b 4.092
_cell_length_c 4.706
_cell_angle_alpha 90.00
_cell_angle_beta 90.00
_cell_angle_gamma 90.00
_space_group_name_H-M_alt 'P 4/m m m'
_space_group_IT_number 123
_space_group_name_Hall '-P 4 2'
loop_
_atom_site_label
_atom_site_fract_x
_atom_site_fract_y
_atom_site_fract_z
Y1 0.000 0.000 0.000
C1 0.500 0.500 0.000
S1 0.000 0.500 0.500
O1 0.000 0.000 0.500
```

---

DFT (PBE-GGA) results for a relaxed structure of Y6CS3O2.

The structure in CIF format:
```
data_Y6CS3O2
_cell_length_a 6.333
_cell_length_b 10.975
_cell_length_c 6.592
_cell_angle_alpha 90.00
_cell_angle_beta 108.63
_cell_angle_gamma 90.00
_space_group_name_H-M_alt 'C 1 2/m 1'
_space_group_IT_number 12
_space_group_name_Hall '-C 2y'
loop_
_atom_site_label
_atom_site_fract_x
_atom_site_fract_y
_atom_site_fract_z
Y1 0.235 0.164 0.212
Y2 0.243 0.500 0.212
C1 0.000 0.000 0.000
S1 0.000 0.167 0.500
S2 0.000 0.500 0.500
O1 0.000 0.333 0.000
```

---

no.,formation energy (no corrections) (eV/atom)
1,-2.023
2,-1.637
3,-1.710
4,-1.712
5,0.586
6,-2.032